<1>
DFT (PBE+U) results for an optimized crystal structure of TiVN2F.

```
TiVN2F
1.0
3.8666 0.0000 0.0000
0.0000 3.8666 0.0000
0.0000 0.0000 3.7683
Ti V N F
1 1 2 1
direct
0.0000 0.0000 0.0000 Ti
0.5000 0.5000 0.5000 V
0.0000 0.5000 0.5000 N
0.5000 0.0000 0.5000 N
0.5000 0.5000 0.0000 F
```


<2>
DFT (PBE+U) results for an optimized crystal structure of TiVN2F.

```
TiVN2F
1.0
3.9524 0.0000 0.0000
0.0000 3.9524 0.0000
0.0000 0.0000 3.8246
Ti V N F
1 1 2 1
direct
0.0000 0.0000 0.0000 Ti
0.5000 0.5000 0.5000 V
0.0000 0.5000 0.0000 N
0.5000 0.0000 0.0000 N
0.0000 0.0000 0.5000 F
```


Stability verdict: <2>, ahead by 240 meV/atom


<1>
DFT (PBE+U) results for an optimized crystal structure of TiWN2F.

```
TiWN2F
1.0
4.0146 0.0000 0.0000
0.0000 4.0146 0.0000
0.0000 0.0000 3.7357
Ti W N F
1 1 2 1
direct
0.0000 0.0000 0.0000 Ti
0.5000 0.5000 0.5000 W
0.0000 0.5000 0.0000 N
0.5000 0.0000 0.0000 N
0.0000 0.0000 0.5000 F
```


<2>
DFT (PBE+U) results for an optimized crystal structure of TiWN2F.

```
TiWN2F
1.0
4.0441 0.0000 0.0000
0.0000 4.0441 0.0000
0.0000 0.0000 4.0154
Ti W N F
1 1 2 1
direct
0.0000 0.0000 0.0000 Ti
0.5000 0.5000 0.5000 W
0.0000 0.5000 0.5000 N
0.5000 0.0000 0.5000 N
0.5000 0.5000 0.0000 F
```


Stability verdict: <1>, ahead by 198 meV/atom


<1>
DFT (PBE+U) results for an optimized crystal structure of TiWNF2.

```
TiWNF2
1.0
4.2180 0.0000 0.0000
0.0000 4.2180 0.0000
0.0000 0.0000 4.1366
Ti W N F
1 1 1 2
direct
0.0000 0.0000 0.0000 Ti
0.5000 0.5000 0.5000 W
0.5000 0.5000 0.0000 N
0.0000 0.5000 0.5000 F
0.5000 0.0000 0.5000 F
```


<2>
DFT (PBE+U) results for an optimized crystal structure of TiWNF2.

```
TiWNF2
1.0
3.9383 0.0000 0.0000
0.0000 3.9383 0.0000
0.0000 0.0000 4.2298
Ti W N F
1 1 1 2
direct
0.0000 0.0000 0.0000 Ti
0.5000 0.5000 0.5000 W
0.0000 0.0000 0.5000 N
0.0000 0.5000 0.0000 F
0.5000 0.0000 0.0000 F
```


Stability verdict: <2>, ahead by 409 meV/atom